No. 1
Compound: CrAgP2
Source: the Alexandria database
Functional: PBE
Structure: relaxed

Computed properties:
* formation energy: 0.18 eV per atom
* crystal system: tetragonal

Unit cell a=3.1545 b=3.1545 c=6.0014 alpha=90.00 beta=90.00 gamma=90.00
Space group P4mm (No. 99)
Symmetry-distinct sites (fractional):
Cr  0.0000  0.0000  0.0000 (multiplicity 1)
Ag  0.5000  0.5000  0.6382 (multiplicity 1)
P  0.0000  0.0000  0.3809 (multiplicity 1)
P  0.5000  0.5000  0.0814 (multiplicity 1)

No. 2
Compound: Zn3Ru2
Source: the Alexandria database
Functional: PBE
Structure: relaxed

Computed properties:
* formation energy: 0.06 eV per atom
* crystal system: trigonal

Unit cell a=2.7504 b=2.7504 c=32.6197 alpha=90.00 beta=90.00 gamma=120.00
Space group R-3m (No. 166, hexagonal axes)
Symmetry-distinct sites (fractional):
Zn  0.0000  0.0000  0.0000 (multiplicity 3)
Zn  0.0000  0.0000  0.2019 (multiplicity 6)
Ru  0.0000  0.0000  0.3992 (multiplicity 6)

No. 3
Compound: BaTiOs
Source: the Alexandria database
Functional: PBE
Structure: relaxed

Computed properties:
* formation energy: 0.04 eV per atom
* crystal system: orthorhombic

Unit cell a=4.3344 b=3.1828 c=11.4671 alpha=90.00 beta=90.00 gamma=90.00
Space group Pmma (No. 51)
Symmetry-distinct sites (fractional):
Ba  0.2500  0.0000  0.1597 (multiplicity 2)
Ti  0.2500  0.0000  0.5912 (multiplicity 2)
Os  0.2500  0.5000  0.4097 (multiplicity 2)

No. 4
Compound: LaCuIr2
Source: the Alexandria database
Functional: PBE
Structure: relaxed

Computed properties:
* formation energy: 0.01 eV per atom
* crystal system: orthorhombic

Unit cell a=2.8935 b=3.8479 c=6.5558 alpha=90.00 beta=90.00 gamma=90.00
Space group Pmm2 (No. 25)
Symmetry-distinct sites (fractional):
La  0.0000  0.0000  0.0000 (multiplicity 1)
Cu  0.5000  0.5000  0.3122 (multiplicity 1)
Ir  0.0000  0.0000  0.5139 (multiplicity 1)
Ir  0.5000  0.5000  0.6939 (multiplicity 1)

No. 5
Compound: Zr2TlOs
Source: the Alexandria database
Functional: PBE
Structure: relaxed

Computed properties:
* formation energy: 0.04 eV per atom
* crystal system: tetragonal

Unit cell a=4.1345 b=4.1345 c=9.3748 alpha=90.00 beta=90.00 gamma=90.00
Space group I-4m2 (No. 119)
Symmetry-distinct sites (fractional):
Zr  0.0000  0.0000  0.0000 (multiplicity 2)
Zr  0.0000  0.5000  0.2500 (multiplicity 2)
Tl  0.0000  0.0000  0.5000 (multiplicity 2)
Os  0.0000  0.5000  0.7500 (multiplicity 2)

No. 6
Compound: InOsCl2
Source: the Alexandria database
Functional: PBE
Structure: relaxed

Computed properties:
* raw formation energy: 5.02 kcal/mol of atoms
* crystal system: trigonal

Unit cell a=3.0553 b=3.0553 c=29.6624 alpha=90.00 beta=90.00 gamma=120.00
Space group R-3m (No. 166, hexagonal axes)
Symmetry-distinct sites (fractional):
In  0.0000  0.0000  0.0000 (multiplicity 3)
Os  0.0000  0.0000  0.5000 (multiplicity 3)
Cl  0.0000  0.0000  0.4245 (multiplicity 6)

Number 1: raw total energy -22.6 eV/f.u., V 14.93 A^3/atom. Number 2: raw total energy -22.1 eV/f.u., V 14.25 A^3/atom. Number 3: raw total energy -20.9 eV/f.u., V 26.37 A^3/atom. Number 4: raw total energy -26.7 eV/f.u., V 18.25 A^3/atom. Number 5: raw total energy -30.5 eV/f.u., V 20.03 A^3/atom. Number 6: raw total energy -16.8 eV/f.u., V 19.98 A^3/atom.